A relaxed structure of CuNi4Pt2. Source: the Alexandria database, functional PBE.

Unit cell a=8.5022 b=8.5022 c=8.2988 alpha=90.00 beta=90.00 gamma=162.14
With the nearest neighbours (Å) after each atom.
Atoms (fractional coordinates):
Cu (0.1274, 0.8726, 0.7500)  6 Ni 2.54-2.62, 2 Cu 2.64
Cu (0.8726, 0.1274, 0.2500)  6 Ni 2.54-2.62, 2 Cu 2.64
Ni (0.0000, 0.0000, 0.0000)  6 Ni 2.46-2.64, 4 Pt 2.55
Ni (0.0000, 0.0000, 0.5000)  6 Ni 2.46-2.64, 4 Pt 2.55
Ni (0.2548, 0.7452, 0.1180)  3 Ni 2.19-2.37
Ni (0.2548, 0.7452, 0.3820)  3 Ni 2.19-2.37
Ni (0.4984, 0.5016, 0.7500)  6 Ni 2.46-2.64, 2 Cu 2.54, 2 Pt 2.58
Ni (0.5016, 0.4984, 0.2500)  6 Ni 2.46-2.64, 2 Cu 2.54, 2 Pt 2.58
Ni (0.7452, 0.2548, 0.6180)  3 Ni 2.19-2.37
Ni (0.7452, 0.2548, 0.8820)  3 Ni 2.19-2.37
Pt (0.3745, 0.6255, 0.5668)  6 Ni 2.53-2.58, 2 Pt 2.64
Pt (0.3745, 0.6255, 0.9332)  6 Ni 2.53-2.58, 2 Pt 2.64
Pt (0.6255, 0.3745, 0.0668)  6 Ni 2.53-2.58, 2 Pt 2.64
Pt (0.6255, 0.3745, 0.4332)  6 Ni 2.53-2.58, 2 Pt 2.64

## Properties
Total magnetization = 5.00 μB per cell
DFT total energy = -5.4789 eV per atom

A relaxed structure of CuNi2Pt. Source: the Alexandria database, functional PBE.

Unit cell a=4.9612 b=4.9612 c=4.9612 alpha=147.98 beta=128.71 gamma=61.75
With the nearest neighbours (Å) after each atom.
Atoms (fractional coordinates):
Cu (0.0000, 0.0000, 0.0000)  6 Ni 2.49-2.55, 2 Pt 2.63, 2 Cu 2.74
Ni (0.2439, 0.7439, 0.5000)  2 Ni 2.42, 2 Cu 2.49, 4 Pt 2.55
Ni (0.4785, 0.4785, 0.0000)  2 Ni 2.42, 4 Cu 2.55, 2 Pt 2.58
Pt (0.7359, 0.2359, 0.5000)  6 Ni 2.55-2.58, 2 Cu 2.63, 2 Pt 2.74

## Properties
Total magnetization = 1.23 μB per cell
DFT total energy = -5.4284 eV per atom

A relaxed structure of CuNiPt2. Source: the Alexandria database, functional PBE.

Unit cell a=2.7403 b=3.6194 c=5.5180 alpha=90.00 beta=90.00 gamma=90.00
With the nearest neighbours (Å) after each atom.
Atoms (fractional coordinates):
Cu (0.0000, 0.0000, 0.0000)  8 Pt 2.66, 2 Cu 2.74, 2 Ni 2.76
Ni (0.0000, 0.0000, 0.5000)  8 Pt 2.65, 2 Ni 2.74, 2 Cu 2.76
Pt (0.5000, 0.5000, 0.2526)  4 Ni 2.65, 4 Cu 2.66, 4 Pt 2.73-2.79
Pt (0.5000, 0.5000, 0.7474)  4 Ni 2.65, 4 Cu 2.66, 4 Pt 2.73-2.79

## Properties
Total magnetization = 1.29 μB per cell
DFT total energy = -5.6044 eV per atom

A relaxed structure of Cu4NiPt. Source: the Alexandria database, functional PBE.

Unit cell a=6.4618 b=6.4618 c=4.4306 alpha=100.44 beta=100.44 gamma=64.35
With the nearest neighbours (Å) after each atom.
Atoms (fractional coordinates):
Cu (0.0552, 0.6974, 0.4415)  6 Cu 2.42-2.64, 1 Pt 2.56, 2 Ni 2.64-2.68
Cu (0.1768, 0.8232, 0.0000)  5 Cu 2.43-2.61, 2 Ni 2.45, 2 Pt 2.59
Cu (0.3026, 0.9448, 0.5585)  6 Cu 2.42-2.64, 1 Pt 2.56, 2 Ni 2.64-2.68
Cu (0.3190, 0.3190, 0.6655)  4 Cu 2.42-2.56, 3 Pt 2.49-2.64, 2 Ni 2.55-2.56
Cu (0.6810, 0.6810, 0.3345)  4 Cu 2.42-2.56, 3 Pt 2.49-2.64, 2 Ni 2.55-2.56
Cu (0.6974, 0.0552, 0.4415)  6 Cu 2.42-2.64, 1 Pt 2.56, 2 Ni 2.64-2.68
Cu (0.8232, 0.1768, 0.0000)  5 Cu 2.43-2.61, 2 Ni 2.45, 2 Pt 2.59
Cu (0.9448, 0.3026, 0.5585)  6 Cu 2.42-2.64, 1 Pt 2.56, 2 Ni 2.64-2.68
Ni (0.1992, 0.1992, 0.1038)  8 Cu 2.45-2.68, 1 Pt 2.50
Ni (0.8008, 0.8008, 0.8962)  8 Cu 2.45-2.68, 1 Pt 2.50
Pt (0.4336, 0.4336, 0.2156)  7 Cu 2.49-2.64, 1 Ni 2.50, 2 Pt 2.63-2.64
Pt (0.5664, 0.5664, 0.7844)  7 Cu 2.49-2.64, 1 Ni 2.50, 2 Pt 2.63-2.64

## Properties
Energy relative to the lowest polymorph listed for this composition = 91 meV/atom
Total magnetization = 0.00 μB per cell

A relaxed structure of CuNi4Pt3. Source: the Alexandria database, functional PBE.

Unit cell a=7.7492 b=7.7492 c=7.7492 alpha=151.76 beta=151.76 gamma=40.37
With the nearest neighbours (Å) after each atom.
Atoms (fractional coordinates):
Cu (0.0000, 0.0000, 0.0000)  8 Ni 2.60, 4 Pt 2.67
Ni (0.1229, 0.6229, 0.5000)  2 Cu 2.60, 6 Pt 2.60-2.65, 4 Ni 2.67
Ni (0.3771, 0.8771, 0.5000)  2 Cu 2.60, 6 Pt 2.60-2.65, 4 Ni 2.67
Ni (0.6229, 0.1229, 0.5000)  2 Cu 2.60, 6 Pt 2.60-2.65, 4 Ni 2.67
Ni (0.8771, 0.3771, 0.5000)  2 Cu 2.60, 6 Pt 2.60-2.65, 4 Ni 2.67
Pt (0.2502, 0.2502, 0.0000)  8 Ni 2.64-2.65, 4 Pt 2.67
Pt (0.5000, 0.5000, 0.0000)  8 Ni 2.60, 4 Cu 2.67
Pt (0.7498, 0.7498, 0.0000)  8 Ni 2.64-2.65, 4 Pt 2.67

## Properties
Energy relative to the lowest polymorph listed for this composition = 0 meV/atom
Total magnetization = 3.57 μB per cell

A relaxed structure of CuNiPt14. Source: the Alexandria database, functional PBE.

Unit cell a=9.2058 b=5.5447 c=5.5447 alpha=60.06 beta=90.00 gamma=90.00
With the nearest neighbours (Å) after each atom.
Atoms (fractional coordinates):
Cu (0.0000, 0.0000, 0.0000)  10 Pt 2.74-2.78, 2 Ni 2.78
Ni (0.0000, 0.5004, 0.5004)  10 Pt 2.73-2.78, 2 Cu 2.78
Pt (0.0000, 0.0012, 0.5006)  8 Pt 2.74-2.78, 2 Cu 2.77-2.78, 2 Ni 2.77-2.78
Pt (0.0000, 0.5006, 0.0012)  8 Pt 2.74-2.78, 2 Cu 2.77-2.78, 2 Ni 2.77-2.78
Pt (0.2406, 0.3340, 0.8333)  1 Ni 2.73, 1 Cu 2.74, 10 Pt 2.74-2.88
Pt (0.2406, 0.8333, 0.3340)  1 Ni 2.73, 1 Cu 2.74, 10 Pt 2.74-2.88
Pt (0.2444, 0.3364, 0.3364)  1 Ni 2.75, 11 Pt 2.75-2.85
Pt (0.2450, 0.8362, 0.8362)  1 Cu 2.75, 11 Pt 2.75-2.85
Pt (0.5000, 0.1685, 0.1685)  12 Pt 2.77-2.88
Pt (0.5000, 0.1690, 0.6690)  12 Pt 2.77-2.86
Pt (0.5000, 0.6685, 0.6685)  12 Pt 2.77-2.88
Pt (0.5000, 0.6690, 0.1690)  12 Pt 2.77-2.86
Pt (0.7550, 0.8362, 0.8362)  1 Cu 2.75, 11 Pt 2.75-2.85
Pt (0.7556, 0.3364, 0.3364)  1 Ni 2.75, 11 Pt 2.75-2.85
Pt (0.7594, 0.3340, 0.8333)  1 Ni 2.73, 1 Cu 2.74, 10 Pt 2.74-2.88
Pt (0.7594, 0.8333, 0.3340)  1 Ni 2.73, 1 Cu 2.74, 10 Pt 2.74-2.88

## Properties
Total magnetization = 2.21 μB per cell
DFT total energy = -5.9180 eV per atom

A relaxed structure of Cu4NiPt5. Source: the Alexandria database, functional PBE.

Unit cell a=2.7535 b=2.7535 c=18.2664 alpha=90.00 beta=90.00 gamma=90.00
With the nearest neighbours (Å) after each atom.
Atoms (fractional coordinates):
Cu (0.0000, 0.0000, 0.1003)  8 Pt 2.67-2.68, 4 Cu 2.75
Cu (0.0000, 0.0000, 0.3011)  8 Pt 2.67-2.69, 4 Cu 2.75
Cu (0.0000, 0.0000, 0.6989)  8 Pt 2.67-2.69, 4 Cu 2.75
Cu (0.0000, 0.0000, 0.8997)  8 Pt 2.67-2.68, 4 Cu 2.75
Ni (0.0000, 0.0000, 0.5000)  8 Pt 2.63, 4 Ni 2.75
Pt (0.5000, 0.5000, 0.0000)  8 Cu 2.67, 4 Pt 2.75
Pt (0.5000, 0.5000, 0.2008)  8 Cu 2.67-2.68, 4 Pt 2.75
Pt (0.5000, 0.5000, 0.4029)  4 Ni 2.63, 4 Cu 2.69, 4 Pt 2.75
Pt (0.5000, 0.5000, 0.5971)  4 Ni 2.63, 4 Cu 2.69, 4 Pt 2.75
Pt (0.5000, 0.5000, 0.7992)  8 Cu 2.67-2.68, 4 Pt 2.75

## Properties
Total magnetization = 1.56 μB per cell
DFT total energy = -5.3726 eV per atom

A relaxed structure of CuNiPt2. Source: the Alexandria database, functional PBE.

Unit cell a=4.5628 b=4.5628 c=2.7216 alpha=90.00 beta=90.00 gamma=105.90
With the nearest neighbours (Å) after each atom.
Atoms (fractional coordinates):
Cu (0.0000, 0.0000, 0.0000)  8 Pt 2.66, 2 Cu 2.72, 2 Ni 2.75
Ni (0.5000, 0.5000, 0.0000)  8 Pt 2.66, 2 Ni 2.72, 2 Cu 2.75
Pt (0.0000, 0.5000, 0.5000)  4 Ni 2.66, 4 Cu 2.66, 4 Pt 2.72-2.75
Pt (0.5000, 0.0000, 0.5000)  4 Ni 2.66, 4 Cu 2.66, 4 Pt 2.72-2.75

## Properties
Total magnetization = 0.04 μB per cell
DFT total energy = -5.6056 eV per atom

Theoretical density readings, ordered: 12.43 12.48 15.55 10.36 14.11 19.32 15.45 15.61 Mg/m³